No. 1
{
  "formula": "Mn2NiAs",
  "functional": "PBE-GGA",
  "state": "optimized geometry",
  "final_energy_ev_per_atom": -7.269,
  "space_group": "I4/mmm (139)",
  "delta_e_f_ev_per_fu": -0.31,
  "crystal_system": "tetragonal",
  "dos_at_fermi_per_ev_atom": 0.9958,
  "cell": [[3.6772, 0.0000, 0.0000], [0.0000, 3.6772, 0.0000], [0.0000, 0.0000, 7.3109]],
  "species": ["Mn", "Mn", "Mn", "Mn", "Ni", "Ni", "As", "As"],
  "fractional_positions": [[0.0000, 0.5000, 0.2500], [0.0000, 0.5000, 0.7500], [0.5000, 0.0000, 0.2500], [0.5000, 0.0000, 0.7500], [0.0000, 0.0000, 0.0000], [0.5000, 0.5000, 0.5000], [0.0000, 0.0000, 0.5000], [0.5000, 0.5000, 0.0000]]
}

=====

No. 2
{
  "formula": "NdDyPa2N4",
  "functional": "PBE-GGA",
  "state": "optimized geometry",
  "final_energy_ev_per_atom": -9.316,
  "formation_energy_uncorrected_ev_per_atom": -1.608,
  "space_group": "P2/m (10)",
  "crystal_system": "monoclinic",
  "dos_at_fermi_per_ev_atom": 0.4818,
  "cell": [[6.1048, 0.0000, 0.0000], [0.0000, 3.5305, 0.0000], [-2.0547, 0.0000, 5.7828]],
  "species": ["Nd", "Dy", "Pa", "Pa", "N", "N", "N", "N"],
  "fractional_positions": [[0.0000, 0.0000, 0.0000], [0.0000, 0.5000, 0.5000], [0.5000, 0.0000, 0.5000], [0.5000, 0.5000, 0.0000], [0.2714, 0.0000, 0.7486], [0.2786, 0.5000, 0.2689], [0.7214, 0.5000, 0.7311], [0.7286, 0.0000, 0.2514]]
}

=====

No. 3
{
  "formula": "Mg2Bi2Pt",
  "functional": "PBE-GGA",
  "state": "optimized geometry",
  "final_energy_ev_per_atom": -3.436,
  "space_group": "P4/mbm (127)",
  "de_polymorph_kj_per_mol_fu": 35,
  "delta_e_f_ev_per_fu": -0.19,
  "crystal_system": "tetragonal",
  "dos_at_fermi_per_ev_atom": 0.2909,
  "cell": [[7.4439, 0.0000, 0.0000], [0.0000, 7.4439, 0.0000], [0.0000, 0.0000, 4.7373]],
  "species": ["Mg", "Mg", "Mg", "Mg", "Bi", "Bi", "Bi", "Bi", "Pt", "Pt"],
  "fractional_positions": [[0.1578, 0.3422, 0.0000], [0.3422, 0.8422, 0.0000], [0.6578, 0.1578, 0.0000], [0.8422, 0.6578, 0.0000], [0.1574, 0.6574, 0.5000], [0.3426, 0.1574, 0.5000], [0.6574, 0.8426, 0.5000], [0.8426, 0.3426, 0.5000], [0.0000, 0.0000, 0.5000], [0.5000, 0.5000, 0.5000]]
}

=====

No. 4
{
  "formula": "TbPmNd2Th",
  "functional": "PBE-GGA",
  "state": "optimized geometry",
  "final_energy_ev_per_atom": -5.022,
  "space_group": "P2/c (13)",
  "delta_e_f_ev_per_fu": 1.23,
  "crystal_system": "monoclinic",
  "dos_at_fermi_per_ev_atom": 1.7660,
  "cell": [[6.4139, 0.0000, 0.0000], [0.0000, 8.4993, 0.0000], [-1.5404, 0.0000, 6.4361]],
  "species": ["Tb", "Tb", "Pm", "Pm", "Nd", "Nd", "Nd", "Nd", "Th", "Th"],
  "fractional_positions": [[0.0000, 0.1622, 0.2500], [0.0000, 0.8378, 0.7500], [0.5000, 0.4065, 0.2500], [0.5000, 0.5935, 0.7500], [0.2821, 0.1717, 0.8387], [0.2821, 0.8283, 0.3387], [0.7179, 0.1717, 0.6613], [0.7179, 0.8283, 0.1613], [0.0000, 0.5000, 0.0000], [0.0000, 0.5000, 0.5000]]
}

=====

No. 5
{
  "formula": "Li7ErPd4",
  "functional": "PBE-GGA",
  "state": "optimized geometry",
  "final_energy_ev_per_atom": -3.417,
  "space_group": "C2/m (12)",
  "delta_e_f_ev_per_fu": -2.27,
  "crystal_system": "monoclinic",
  "dos_at_fermi_per_ev_atom": 0.2973,
  "cell": [[6.5963, -2.3302, 0.0000], [6.5963, 2.3302, 0.0000], [-4.7032, 0.0000, 6.3201]],
  "species": ["Li", "Li", "Li", "Li", "Li", "Li", "Li", "Er", "Pd", "Pd", "Pd", "Pd"],
  "fractional_positions": [[0.0000, 0.0000, 0.0000], [0.1995, 0.1995, 0.7426], [0.2811, 0.2811, 0.4513], [0.4271, 0.4271, 0.2948], [0.5729, 0.5729, 0.7052], [0.7189, 0.7189, 0.5487], [0.8005, 0.8005, 0.2574], [0.5000, 0.5000, 0.0000], [0.0449, 0.0449, 0.3469], [0.1896, 0.1896, 0.0449], [0.8104, 0.8104, 0.9551], [0.9551, 0.9551, 0.6531]]
}

=====

No. 6
{
  "formula": "TmSc2Pd",
  "functional": "PBE-GGA",
  "state": "optimized geometry",
  "final_energy_ev_per_atom": -5.842,
  "space_group": "R3m (160)",
  "de_polymorph_kj_per_mol_fu": 79,
  "delta_e_f_ev_per_fu": -1.04,
  "crystal_system": "trigonal",
  "dos_at_fermi_per_ev_atom": 1.1771,
  "cell": [[3.4231, 0.0000, 0.0000], [-1.7116, 2.9645, 0.0000], [0.0000, 0.0000, 28.0042]],
  "species": ["Tm", "Tm", "Tm", "Sc", "Sc", "Sc", "Sc", "Sc", "Sc", "Pd", "Pd", "Pd"],
  "fractional_positions": [[0.0000, 0.0000, 0.0000], [0.3333, 0.6667, 0.6667], [0.6667, 0.3333, 0.3333], [0.0000, 0.0000, 0.5665], [0.0000, 0.0000, 0.7636], [0.3333, 0.6667, 0.2332], [0.3333, 0.6667, 0.4303], [0.6667, 0.3333, 0.0969], [0.6667, 0.3333, 0.8998], [0.0000, 0.0000, 0.1650], [0.3333, 0.6667, 0.8317], [0.6667, 0.3333, 0.4983]]
}